1.
A plane-wave DFT calculation with GGA-PBE was carried out for a geometry-optimized Tb3HoAl structure.

Output
- ΔE_f: 0.1071 eV per atom
- Magnetic moment: 0.0 μB per formula unit
- Density: 7.2 g/cm3
- Space group: No. 38

Lattice parameters (Å, degrees): 5.1913 5.6304 5.6304 110.13 90.00 90.00
Positions (direct):
Tb: 0.0000 0.0000 0.0000
Tb: 0.5000 0.5526 0.9171
Tb: 0.5000 0.9171 0.5526
Ho: 0.0000 0.4786 0.4786
Al: 0.5000 0.2430 0.2430

---

2.
A plane-wave DFT calculation with GGA-PBE was carried out for a geometry-optimized KCaCd2 structure.

Output
- ΔE_f: -0.0801 eV per atom
- Magnetic moment: 0.0 μB per formula unit
- Density: 3.9 g/cm3
- Space group: No. 44

Lattice parameters (Å, degrees): 6.8226 6.8226 6.8226 147.15 130.04 61.09
Positions (direct):
K: 0.0000 0.0000 0.0000
Ca: 0.2969 0.7969 0.5000
Cd: 0.5390 0.5390 0.0000
Cd: 0.7356 0.2356 0.5000

---

3.
A plane-wave DFT calculation with GGA-PBE was carried out for a geometry-optimized LuNiSn2 structure.

Output
- ΔE_f: 0.0468 eV per atom
- Magnetic moment: 0.0 μB per formula unit
- Density: 8.1 g/cm3
- Space group: No. 166

Lattice parameters (Å, degrees): 10.0902 10.0902 10.0902 19.10 19.10 19.10
Positions (direct):
Lu: 0.0000 0.0000 0.0000
Ni: 0.5000 0.5000 0.5000
Sn: 0.1046 0.1046 0.1046
Sn: 0.8954 0.8954 0.8954